Here is TlPI after structural relaxation from the Alexandria database. Energies are from GGA-PBE.

Cell and atoms, written as POSCAR:
```
TlPI
1.0
4.651 0.000 0.000
2.325 6.505 -0.509
2.325 1.605 8.088
Tl I P
2 2 2
Direct
0.454 0.744 0.348 Tl
0.546 0.256 0.652 Tl
0.191 0.269 0.348 I
0.809 0.731 0.652 I
0.946 0.990 0.117 P
0.054 0.010 0.883 P
```

Calculated values
**Energy**: -3.2231 eV/atom
**Symmetry**: C2/m
**Density**: 4.8 g cm⁻³
**Energy relative to the elements, uncorrected**: -0.114 eV/atom
**Crystal system**: monoclinic